Compound: NaHgN3
Source: the Alexandria database
Functional: GGA-PBE
Structure: relaxed

abc: 4.342 4.342 4.342
angles: 90.00 90.00 90.00
Each line ends with the local moment (μB).
Positions (direct):
Na (0.500, 0.500, 0.500)  -0.01
Hg (0.000, 0.000, 0.000)  0.03
N (0.000, 0.500, 0.000)  0.96
N (0.000, 0.000, 0.500)  0.84
N (0.500, 0.000, 0.000)  1.05

Results
* uncorrected formation energy: 2.169 eV per atom

Compound: NaHgN3
Source: the Alexandria database
Functional: GGA-PBE
Structure: relaxed

abc: 4.302 4.302 4.302
angles: 90.00 90.00 90.00
Each line ends with the local moment (μB).
Positions (direct):
Na (0.000, 0.000, 0.000)  0.05
Hg (0.500, 0.500, 0.500)  -0.09
N (0.000, 0.500, 0.000)  1.44
N (0.000, 0.000, 0.500)  1.39
N (0.500, 0.000, 0.000)  1.47

Results
* uncorrected formation energy: 2.676 eV per atom

Compound: NaNi2HgN
Source: the Alexandria database
Functional: GGA-PBE
Structure: relaxed

abc: 3.828 4.677 3.828
angles: 90.00 90.00 90.00
Each line ends with the local moment (μB).
Positions (direct):
Ni (0.000, 0.000, 0.500)  0.36
Ni (0.500, 0.000, 0.000)  0.59
N (0.000, 0.000, 0.000)  0.15
Hg (0.500, 0.500, 0.500)  0.02
Na (0.000, 0.500, 0.000)  0.00

Results
* uncorrected formation energy: 0.137 eV per atom

Compound: NaHgN2O
Source: the Alexandria database
Functional: GGA-PBE
Structure: relaxed

abc: 4.334 4.334 4.426
angles: 90.00 90.00 90.00
Each line ends with the local moment (μB).
Positions (direct):
Na (0.500, 0.500, 0.500)  -0.01
Hg (0.000, 0.000, 0.000)  0.04
O (0.000, 0.000, 0.500)  0.29
N (0.000, 0.500, 0.000)  1.04
N (0.500, 0.000, 0.000)  1.04

Results
* uncorrected formation energy: 1.413 eV per atom

Compound: NaHgN2O
Source: the Alexandria database
Functional: GGA-PBE
Structure: relaxed

abc: 4.427 4.427 4.206
angles: 90.00 90.00 90.00
Each line ends with the local moment (μB).
Positions (direct):
Na (0.000, 0.000, 0.000)  0.02
Hg (0.500, 0.500, 0.500)  -0.09
O (0.000, 0.000, 0.500)  0.88
N (0.000, 0.500, 0.000)  1.50
N (0.500, 0.000, 0.000)  1.50

Results
* uncorrected formation energy: 1.886 eV per atom

Compound: NaHgNO2
Source: the Alexandria database
Functional: GGA-PBE
Structure: relaxed

abc: 4.220 4.220 4.346
angles: 90.00 90.00 90.00
Each line ends with the local moment (μB).
Positions (direct):
Na (0.000, 0.000, 0.000)  0.01
Hg (0.500, 0.500, 0.500)  -0.09
O (0.000, 0.500, 0.000)  0.89
O (0.500, 0.000, 0.000)  0.89
N (0.000, 0.000, 0.500)  1.54

Results
* uncorrected formation energy: 1.184 eV per atom